(1)
# Ba9Na2Ga3, relaxed, DFT PBE
data_Ba9Na2Ga3
_chemical_formula_sum 'Ba18 Na4 Ga6'
_cell_length_a 10.577
_cell_length_b 10.577
_cell_length_c 14.716
_cell_angle_alpha 110.52
_cell_angle_beta 110.52
_cell_angle_gamma 59.76
_symmetry_space_group_name_H-M 'P 1'
_symmetry_Int_Tables_number 1
loop_
_symmetry_equiv_pos_as_xyz
'x,y,z'
loop_
_atom_site_label
_atom_site_type_symbol
_atom_site_fract_x
_atom_site_fract_y
_atom_site_fract_z
Ba1 Ba 0.019 0.203 0.058
Ba2 Ba 0.082 0.644 0.251
Ba3 Ba 0.143 0.331 0.428
Ba4 Ba 0.191 0.809 0.750
Ba5 Ba 0.203 0.019 0.558
Ba6 Ba 0.331 0.143 0.928
Ba7 Ba 0.356 0.918 0.249
Ba8 Ba 0.378 0.502 0.072
Ba9 Ba 0.498 0.622 0.428
Ba10 Ba 0.502 0.378 0.572
Ba11 Ba 0.622 0.498 0.928
Ba12 Ba 0.644 0.082 0.751
Ba13 Ba 0.669 0.857 0.072
Ba14 Ba 0.797 0.981 0.442
Ba15 Ba 0.809 0.191 0.250
Ba16 Ba 0.857 0.669 0.572
Ba17 Ba 0.918 0.356 0.749
Ba18 Ba 0.981 0.797 0.942
Na1 Na 0.249 0.416 0.749
Na2 Na 0.416 0.249 0.249
Na3 Na 0.584 0.751 0.751
Na4 Na 0.751 0.584 0.251
Ga1 Ga 0.000 0.500 0.000
Ga2 Ga 0.161 0.674 0.500
Ga3 Ga 0.326 0.839 0.000
Ga4 Ga 0.500 0.000 0.500
Ga5 Ga 0.674 0.161 0.000
Ga6 Ga 0.839 0.326 0.500
# Formation energy from the elements = -1.64 eV/f.u.
# D(E_F) = 33.1 states/eV/cell

=====

(2)
# YZrAu2, relaxed, DFT PBE
data_YZrAu2
_chemical_formula_sum 'Y2 Zr2 Au4'
_cell_length_a 6.404
_cell_length_b 6.404
_cell_length_c 6.404
_cell_angle_alpha 108.34
_cell_angle_beta 108.34
_cell_angle_gamma 111.75
_symmetry_space_group_name_H-M 'P 1'
_symmetry_Int_Tables_number 1
loop_
_symmetry_equiv_pos_as_xyz
'x,y,z'
loop_
_atom_site_label
_atom_site_type_symbol
_atom_site_fract_x
_atom_site_fract_y
_atom_site_fract_z
Y1 Y 0.000 0.000 0.000
Y2 Y 0.750 0.250 0.500
Zr1 Zr 0.250 0.750 0.500
Zr2 Zr 0.500 0.500 0.000
Au1 Au 0.144 0.625 0.019
Au2 Au 0.375 0.394 0.519
Au3 Au 0.606 0.125 0.981
Au4 Au 0.875 0.856 0.481
# Formation energy from the elements = -1.01 eV/f.u.
# D(E_F) = 10.8 states/eV/cell
# Energy relative to the lowest polymorph listed for this composition = 394 meV/atom

=====

(3)
# La12Tl3Pb, relaxed, DFT PBE
data_La12Tl3Pb
_chemical_formula_sum 'La12 Tl3 Pb1'
_cell_length_a 5.078
_cell_length_b 5.078
_cell_length_c 20.241
_cell_angle_alpha 90.00
_cell_angle_beta 90.00
_cell_angle_gamma 90.00
_symmetry_space_group_name_H-M 'P 1'
_symmetry_Int_Tables_number 1
loop_
_symmetry_equiv_pos_as_xyz
'x,y,z'
loop_
_atom_site_label
_atom_site_type_symbol
_atom_site_fract_x
_atom_site_fract_y
_atom_site_fract_z
La1 La 0.000 0.000 0.000
La2 La 0.000 0.000 0.249
La3 La 0.000 0.000 0.500
La4 La 0.000 0.000 0.751
La5 La 0.000 0.500 0.125
La6 La 0.000 0.500 0.375
La7 La 0.000 0.500 0.625
La8 La 0.000 0.500 0.875
La9 La 0.500 0.000 0.125
La10 La 0.500 0.000 0.375
La11 La 0.500 0.000 0.625
La12 La 0.500 0.000 0.875
Tl1 Tl 0.500 0.500 0.000
Tl2 Tl 0.500 0.500 0.250
Tl3 Tl 0.500 0.500 0.750
Pb1 Pb 0.500 0.500 0.500
# Formation energy from the elements = -4.48 eV/f.u.
# D(E_F) = 25.3 states/eV/cell

=====

(4)
# CrFeAu2, relaxed, DFT PBE
data_CrFeAu2
_chemical_formula_sum 'Cr1 Fe1 Au2'
_cell_length_a 4.687
_cell_length_b 4.687
_cell_length_c 2.961
_cell_angle_alpha 90.00
_cell_angle_beta 90.00
_cell_angle_gamma 95.95
_symmetry_space_group_name_H-M 'P 1'
_symmetry_Int_Tables_number 1
loop_
_symmetry_equiv_pos_as_xyz
'x,y,z'
loop_
_atom_site_label
_atom_site_type_symbol
_atom_site_fract_x
_atom_site_fract_y
_atom_site_fract_z
Cr1 Cr 0.000 0.000 0.000
Fe1 Fe 0.500 0.500 0.000
Au1 Au 0.000 0.500 0.500
Au2 Au 0.500 0.000 0.500
# Formation energy from the elements = 0.93 eV/f.u.
# D(E_F) = 3.6 states/eV/cell

=====

(5)
# AcLu2Sb, relaxed, DFT PBE
data_AcLu2Sb
_chemical_formula_sum 'Ac1 Lu2 Sb1'
_cell_length_a 3.913
_cell_length_b 3.913
_cell_length_c 8.011
_cell_angle_alpha 90.00
_cell_angle_beta 90.00
_cell_angle_gamma 90.00
_symmetry_space_group_name_H-M 'P 1'
_symmetry_Int_Tables_number 1
loop_
_symmetry_equiv_pos_as_xyz
'x,y,z'
loop_
_atom_site_label
_atom_site_type_symbol
_atom_site_fract_x
_atom_site_fract_y
_atom_site_fract_z
Ac1 Ac 0.000 0.000 0.000
Lu1 Lu 0.500 0.500 0.300
Lu2 Lu 0.500 0.500 0.700
Sb1 Sb 0.000 0.000 0.500
# D(E_F) = 4.6 states/eV/cell
# Energy relative to the lowest polymorph listed for this composition = 0 meV/atom
# Formation energy from raw total energies = -0.395 eV per atom

=====

(6)
# Tb3ErTl4S8, relaxed, DFT PBE
data_Tb3ErTl4S8
_chemical_formula_sum 'Tb3 Er1 Tl4 S8'
_cell_length_a 8.847
_cell_length_b 8.847
_cell_length_c 8.847
_cell_angle_alpha 54.30
_cell_angle_beta 54.30
_cell_angle_gamma 54.30
_symmetry_space_group_name_H-M 'P 1'
_symmetry_Int_Tables_number 1
loop_
_symmetry_equiv_pos_as_xyz
'x,y,z'
loop_
_atom_site_label
_atom_site_type_symbol
_atom_site_fract_x
_atom_site_fract_y
_atom_site_fract_z
Tb1 Tb 0.000 0.500 0.500
Tb2 Tb 0.500 0.000 0.500
Tb3 Tb 0.500 0.500 0.000
Er1 Er 0.000 0.000 0.000
Tl1 Tl 0.000 0.000 0.500
Tl2 Tl 0.000 0.500 0.000
Tl3 Tl 0.500 0.000 0.000
Tl4 Tl 0.500 0.500 0.500
S1 S 0.231 0.231 0.736
S2 S 0.231 0.736 0.231
S3 S 0.264 0.769 0.769
S4 S 0.267 0.267 0.267
S5 S 0.733 0.733 0.733
S6 S 0.736 0.231 0.231
S7 S 0.769 0.264 0.769
S8 S 0.769 0.769 0.264
# D(E_F) = 0.0 states/eV/cell
# Formation energy from raw total energies = -1.489 eV per atom

=====

(7)
# Y4CuRu, relaxed, DFT PBE
data_Y4CuRu
_chemical_formula_sum 'Y8 Cu2 Ru2'
_cell_length_a 7.396
_cell_length_b 7.396
_cell_length_c 6.270
_cell_angle_alpha 97.90
_cell_angle_beta 97.90
_cell_angle_gamma 111.85
_symmetry_space_group_name_H-M 'P 1'
_symmetry_Int_Tables_number 1
loop_
_symmetry_equiv_pos_as_xyz
'x,y,z'
loop_
_atom_site_label
_atom_site_type_symbol
_atom_site_fract_x
_atom_site_fract_y
_atom_site_fract_z
Y1 Y 0.075 0.725 0.967
Y2 Y 0.224 0.380 0.572
Y3 Y 0.275 0.925 0.533
Y4 Y 0.380 0.224 0.072
Y5 Y 0.620 0.776 0.928
Y6 Y 0.725 0.075 0.467
Y7 Y 0.776 0.620 0.428
Y8 Y 0.925 0.275 0.033
Cu1 Cu 0.372 0.628 0.250
Cu2 Cu 0.628 0.372 0.750
Ru1 Ru 0.002 0.998 0.750
Ru2 Ru 0.998 0.002 0.250
# Formation energy from the elements = -1.42 eV/f.u.
# D(E_F) = 11.6 states/eV/cell
# Energy relative to the lowest polymorph listed for this composition = 0 meV/atom

=====

(8)
# YCrSe2, relaxed, DFT PBE
data_YCrSe2
_chemical_formula_sum 'Y1 Cr1 Se2'
_cell_length_a 5.026
_cell_length_b 5.026
_cell_length_c 5.026
_cell_angle_alpha 129.48
_cell_angle_beta 113.09
_cell_angle_gamma 88.40
_symmetry_space_group_name_H-M 'P 1'
_symmetry_Int_Tables_number 1
loop_
_symmetry_equiv_pos_as_xyz
'x,y,z'
loop_
_atom_site_label
_atom_site_type_symbol
_atom_site_fract_x
_atom_site_fract_y
_atom_site_fract_z
Y1 Y 0.000 0.000 0.000
Cr1 Cr 0.500 0.500 0.000
Se1 Se 0.279 0.779 0.500
Se2 Se 0.721 0.221 0.500
# D(E_F) = 2.5 states/eV/cell
# Energy relative to the lowest polymorph listed for this composition = 216 meV/atom
# Formation energy from raw total energies = -0.835 eV per atom

=====

(9)
# Li2LaTbCl8, relaxed, DFT PBE
data_Li2LaTbCl8
_chemical_formula_sum 'Li2 La1 Tb1 Cl8'
_cell_length_a 6.321
_cell_length_b 6.344
_cell_length_c 8.272
_cell_angle_alpha 90.06
_cell_angle_beta 90.04
_cell_angle_gamma 93.26
_symmetry_space_group_name_H-M 'P 1'
_symmetry_Int_Tables_number 1
loop_
_symmetry_equiv_pos_as_xyz
'x,y,z'
loop_
_atom_site_label
_atom_site_type_symbol
_atom_site_fract_x
_atom_site_fract_y
_atom_site_fract_z
Li1 Li 0.001 0.000 0.235
Li2 Li 0.999 0.000 0.765
La1 La 0.500 0.500 0.500
Tb1 Tb 0.500 0.500 0.000
Cl1 Cl 0.189 0.183 0.499
Cl2 Cl 0.199 0.194 0.000
Cl3 Cl 0.299 0.694 0.762
Cl4 Cl 0.299 0.695 0.238
Cl5 Cl 0.701 0.305 0.762
Cl6 Cl 0.701 0.306 0.238
Cl7 Cl 0.801 0.806 0.000
Cl8 Cl 0.811 0.817 0.501
# D(E_F) = 0.0 states/eV/cell
# Formation energy from raw total energies = -2.114 eV per atom

=====

(10)
# Sm2Si4Ir3Rh, relaxed, DFT PBE
data_Sm2Si4Ir3Rh
_chemical_formula_sum 'Sm2 Si4 Ir3 Rh1'
_cell_length_a 4.174
_cell_length_b 4.174
_cell_length_c 9.857
_cell_angle_alpha 90.00
_cell_angle_beta 90.00
_cell_angle_gamma 90.00
_symmetry_space_group_name_H-M 'P 1'
_symmetry_Int_Tables_number 1
loop_
_symmetry_equiv_pos_as_xyz
'x,y,z'
loop_
_atom_site_label
_atom_site_type_symbol
_atom_site_fract_x
_atom_site_fract_y
_atom_site_fract_z
Sm1 Sm 0.000 0.500 0.244
Sm2 Sm 0.500 0.000 0.756
Si1 Si 0.000 0.000 0.000
Si2 Si 0.000 0.500 0.630
Si3 Si 0.500 0.000 0.370
Si4 Si 0.500 0.500 0.000
Ir1 Ir 0.000 0.500 0.873
Ir2 Ir 0.500 0.000 0.127
Ir3 Ir 0.500 0.500 0.500
Rh1 Rh 0.000 0.000 0.500
# D(E_F) = 5.0 states/eV/cell
# Formation energy from raw total energies = -1.062 eV per atom